Computed, not measured: a geometry-optimized RbCo2SnF8 structure at the PBE with a Hubbard U level of DFT.

Structure (POSCAR):
```
RbCo2SnF8
1.0
5.2815 0.0000 0.0000
0.1251 5.5014 0.0000
1.5943 1.4832 6.3072
Rb Co Sn F
1 2 1 8
Direct
0.0000 0.0000 0.0000
0.4970 0.5014 0.2477
0.5030 0.4986 0.7523
0.0000 0.0000 0.5000
0.2435 0.7385 0.7258
0.2884 0.3295 0.5400
0.3105 0.7984 0.2550
0.3115 0.3523 0.0737
0.6885 0.6477 0.9263
0.6895 0.2016 0.7450
0.7116 0.6705 0.4600
0.7565 0.2615 0.2742
```

E_tot (eV/atom): -4.65
Total magnetic moment (μB per formula unit): 7.0
Crystal system: triclinic